Crystalline Pr4SmHo2Er2 at its relaxed geometry. Source: Alexandria via LeMat-Bulk, functional PBE.

Unit cell a=15.3557 b=5.1020 c=8.0817 alpha=90.00 beta=108.21 gamma=90.00
Space group C2/m (No. 12)
Symmetry-distinct sites (fractional):
Pr: 0.0535 0.0000 0.3310 (multiplicity 4)
Pr: 0.2233 0.5000 0.3318 (multiplicity 4)
Sm: 0.0000 0.5000 0.0000 (multiplicity 2)
Ho: 0.1682 0.0000 0.9995 (multiplicity 4)
Er: 0.1114 0.5000 0.6692 (multiplicity 4)

## Properties
Energy relative to the elements   0.02 eV/atom
Total magnetic moment   0.000 μB per formula unit
Calculated total energy   -83.9 eV/cell